LiP2Pd8 after structural relaxation, computed with GGA-PBE.

total energy: -58.9 eV for the cell shown
calculated volume: 162.9 Å³/cell
total magnetic moment: 0.00 μB per formula unit
energy relative to the lowest polymorph listed for this composition: 13 meV/atom
ΔE_f: -0.42 eV per atom

```
LiP2Pd8
1.0
-1.941 3.876 2.154
-1.636 -2.953 4.090
7.080 0.332 0.343
Pd P Li
8 2 1
Direct
0.433 0.933 0.360
0.704 0.261 0.869
0.198 0.551 0.893
0.030 0.932 0.589
0.844 0.899 0.129
0.188 0.430 0.262
0.801 0.371 0.451
0.569 0.716 0.705
0.638 0.548 0.177
0.301 0.301 0.580
0.294 0.058 0.986
```